Record 1
! NdZnIr PBE relaxed; values from VASP
&SYSTEM
  ibrav = 0, nat = 12, ntyp = 3
/
ATOMIC_SPECIES
Ir 192.22 Ir.upf
Nd 144.24 Nd.upf
Zn 65.41 Zn.upf
CELL_PARAMETERS angstrom
-3.3354 3.1881 5.4300
-3.6945 -0.7660 -1.8196
-0.4509 -7.1756 3.9360
ATOMIC_POSITIONS angstrom
Ir -3.4267 1.3228 3.9897
Ir -1.8803 -2.2021 2.3338
Ir -5.6005 -2.5514 5.2125
Ir -4.0541 -6.0762 3.5566
Nd -2.9555 -1.8253 -0.4633
Nd -4.6795 -1.1261 2.7425
Nd -2.8013 -3.6273 4.8038
Nd -4.5252 -2.9281 8.0096
Zn -2.1364 0.4536 1.7359
Zn -3.9686 -0.5702 5.8868
Zn -3.5122 -4.1833 1.6596
Zn -5.3444 -5.2070 5.8105
! size of the total moment	0.00	μB per cell
! calculated volume	20.39	Å³ per atom
! crystal system	orthorhombic
! energy of formation	-605	meV per atom

---

Record 2
! NdZnIr PBE relaxed; values from VASP
&SYSTEM
  ibrav = 0, nat = 3, ntyp = 3
/
ATOMIC_SPECIES
Ir 192.22 Ir.upf
Nd 144.24 Nd.upf
Zn 65.41 Zn.upf
CELL_PARAMETERS angstrom
0.0000 3.2798 3.2798
3.2798 0.0000 3.2798
3.2798 3.2798 0.0000
ATOMIC_POSITIONS angstrom
Ir 0.0000 0.0000 0.0000
Nd 4.9197 4.9197 4.9197
Zn 1.6399 1.6399 1.6399
! size of the total moment	0.00	μB per cell
! calculated volume	23.52	Å³ per atom
! crystal system	cubic
! energy of formation	-365	meV per atom

---

Record 3
! NdZrIr PBE relaxed; values from VASP
&SYSTEM
  ibrav = 0, nat = 3, ntyp = 3
/
ATOMIC_SPECIES
Ir 192.22 Ir.upf
Nd 144.24 Nd.upf
Zr 91.22 Zr.upf
CELL_PARAMETERS angstrom
0.0000 3.3120 3.3120
3.3120 0.0000 3.3120
3.3120 3.3120 0.0000
ATOMIC_POSITIONS angstrom
Ir 1.6560 1.6560 1.6560
Nd 0.0000 0.0000 0.0000
Zr 4.9680 4.9680 4.9680
! size of the total moment	0.00	μB per cell
! calculated volume	24.22	Å³ per atom
! crystal system	cubic
! energy of formation	581	meV per atom

---

Record 4
! NdZrIr PBE relaxed; values from VASP
&SYSTEM
  ibrav = 0, nat = 3, ntyp = 3
/
ATOMIC_SPECIES
Ir 192.22 Ir.upf
Nd 144.24 Nd.upf
Zr 91.22 Zr.upf
CELL_PARAMETERS angstrom
-4.1904 0.2407 2.0131
-3.0053 3.3203 -1.2704
-3.8142 -1.1165 -2.4238
ATOMIC_POSITIONS angstrom
Ir -2.7525 0.6111 -0.4203
Nd -8.2574 1.8333 -1.2609
Zr 0.0000 0.0000 0.0000
! size of the total moment	0.00	μB per cell
! calculated volume	23.78	Å³ per atom
! crystal system	cubic
! energy of formation	133	meV per atom

---

Record 5
! NdZrIr PBE relaxed; values from VASP
&SYSTEM
  ibrav = 0, nat = 6, ntyp = 3
/
ATOMIC_SPECIES
Ir 192.22 Ir.upf
Nd 144.24 Nd.upf
Zr 91.22 Zr.upf
CELL_PARAMETERS angstrom
-3.3668 3.2215 0.1725
-2.1309 -2.0333 -3.6150
-3.5134 -3.9083 4.2760
ATOMIC_POSITIONS angstrom
Ir -2.0959 -0.5023 0.0130
Ir -6.9152 -2.2179 0.8206
Nd -5.4256 -0.5576 -0.9969
Nd -3.5855 -2.1626 1.8305
Zr -3.0579 1.9082 -0.7741
Zr -2.4398 -0.7200 -2.6684
! size of the total moment	0.02	μB per cell
! calculated volume	24.55	Å³ per atom
! crystal system	monoclinic
! energy of formation	-650	meV per atom

---

Record 6
! NiIr3 PBE relaxed; values from VASP
&SYSTEM
  ibrav = 0, nat = 4, ntyp = 2
/
ATOMIC_SPECIES
Ir 192.22 Ir.upf
Ni 58.69 Ni.upf
CELL_PARAMETERS angstrom
4.1158 -1.1671 -1.8718
3.4053 2.5987 1.8592
-3.4086 -2.5478 1.9224
ATOMIC_POSITIONS angstrom
Ir 3.7606 0.7158 -0.0063
Ir 2.2339 -1.4995 0.0222
Ir 1.8786 0.3833 1.8877
Ni 0.0000 0.0000 0.0000
! size of the total moment	0.06	μB per cell
! calculated volume	13.69	Å³ per atom
! crystal system	tetragonal
! energy of formation	4	meV per atom

---

Record 7
! NiIr2 PBE relaxed; values from VASP
&SYSTEM
  ibrav = 0, nat = 6, ntyp = 2
/
ATOMIC_SPECIES
Ir 192.22 Ir.upf
Ni 58.69 Ni.upf
CELL_PARAMETERS angstrom
-1.4129 4.4344 -1.8770
-2.6963 -2.3493 -3.5206
-3.1927 0.0138 2.4359
ATOMIC_POSITIONS angstrom
Ir -1.3170 0.6683 -1.7299
Ir -2.7922 1.4169 -3.6677
Ir -3.2396 3.2237 -0.9541
Ir -4.0623 -1.1247 -2.0076
Ni 0.0000 0.0000 0.0000
Ni -3.6509 1.0495 -1.4808
! size of the total moment	2.17	μB per cell
! calculated volume	16.86	Å³ per atom
! crystal system	tetragonal
! energy of formation	1419	meV per atom

---

Record 8
! NiIr2 PBE relaxed; values from VASP
&SYSTEM
  ibrav = 0, nat = 6, ntyp = 2
/
ATOMIC_SPECIES
Ir 192.22 Ir.upf
Ni 58.69 Ni.upf
CELL_PARAMETERS angstrom
0.0000 3.5953 3.5953
3.5953 0.0000 3.5953
3.5953 3.5953 0.0000
ATOMIC_POSITIONS angstrom
Ir 2.6964 2.6964 4.4941
Ir 2.6964 4.4941 2.6964
Ir 4.4941 2.6964 2.6964
Ir 4.4941 4.4941 4.4941
Ni 0.0000 0.0000 0.0000
Ni 1.7976 1.7976 1.7976
! size of the total moment	4.32	μB per cell
! calculated volume	15.49	Å³ per atom
! crystal system	cubic
! energy of formation	693	meV per atom

---

Record 9
! Ni2Ir PBE relaxed; values from VASP
&SYSTEM
  ibrav = 0, nat = 6, ntyp = 2
/
ATOMIC_SPECIES
Ir 192.22 Ir.upf
Ni 58.69 Ni.upf
CELL_PARAMETERS angstrom
1.4369 -2.7241 3.4885
-1.0199 1.1215 4.3997
-3.0819 -2.5359 2.3930
ATOMIC_POSITIONS angstrom
Ir 0.0000 0.0000 0.0000
Ir -0.6662 -1.0346 2.5703
Ni -0.1246 -1.3186 5.2293
Ni -1.1556 -3.1473 4.2259
Ni -2.3840 -1.2245 4.6815
Ni -1.6655 -2.5865 6.4258
! size of the total moment	4.65	μB per cell
! calculated volume	11.88	Å³ per atom
! crystal system	cubic
! energy of formation	136	meV per atom

---

Record 10
! NpUNiIr PBE relaxed; values from VASP
&SYSTEM
  ibrav = 0, nat = 4, ntyp = 4
/
ATOMIC_SPECIES
Ir 192.22 Ir.upf
Ni 58.69 Ni.upf
Np 237.00 Np.upf
U 238.03 U.upf
CELL_PARAMETERS angstrom
0.0000 3.2268 3.2268
3.2268 0.0000 3.2268
3.2268 3.2268 0.0000
ATOMIC_POSITIONS angstrom
Ir 0.0000 0.0000 0.0000
Ni 1.6134 1.6134 1.6134
Np 3.2268 3.2268 3.2268
U 4.8402 4.8402 4.8402
! size of the total moment	4.00	μB per cell
! calculated volume	16.80	Å³ per atom
! crystal system	cubic
! energy of formation	-479	meV per atom

---

Record 11
! NiP2Ir PBE relaxed; values from VASP
&SYSTEM
  ibrav = 0, nat = 8, ntyp = 3
/
ATOMIC_SPECIES
Ir 192.22 Ir.upf
Ni 58.69 Ni.upf
P 30.97 P.upf
CELL_PARAMETERS angstrom
3.4756 0.0000 0.0000
-1.7378 3.0100 0.0000
0.0000 0.0000 10.4832
ATOMIC_POSITIONS angstrom
Ir 0.0000 0.0000 2.6208
Ir 0.0000 0.0000 7.8624
Ni 0.0000 0.0000 0.0000
Ni 0.0000 0.0000 5.2416
P 0.0000 2.0066 1.2115
P 0.0000 2.0066 4.0301
P 1.7378 1.0033 6.4531
P 1.7378 1.0033 9.2717
! size of the total moment	0.00	μB per cell
! calculated volume	13.71	Å³ per atom
! crystal system	hexagonal
! uncorrected energy	-6.56	eV/atom

---

Record 12
! RbNiP2Ir PBE relaxed; values from VASP
&SYSTEM
  ibrav = 0, nat = 5, ntyp = 4
/
ATOMIC_SPECIES
Ir 192.22 Ir.upf
Ni 58.69 Ni.upf
P 30.97 P.upf
Rb 85.47 Rb.upf
CELL_PARAMETERS angstrom
3.7768 3.3019 5.3026
5.2568 5.0589 0.2391
-6.4455 -2.1824 -2.6413
ATOMIC_POSITIONS angstrom
Ir 0.0000 0.0000 0.0000
Ni 4.5168 4.1804 2.7709
P 0.2131 2.1856 -0.7057
P 3.1150 4.8714 1.0744
Rb 0.9240 2.6500 2.7161
! size of the total moment	0.00	μB per cell
! calculated volume	20.87	Å³ per atom
! crystal system	tetragonal
! uncorrected energy	-5.78	eV/atom